MnAl2I | PBE | relaxed

Output
The formation energy without anion corrections comes out at 2.097 eV/f.u. The excess energy over the best structure of this formula in the dataset is 0.000 eV/atom. The value obtained for the density of states at the Fermi level is 2.93 states/eV/f.u. The calculation puts the calculated density at 4392 kg/m3.

a = 7.9418 Å, b = 7.9418 Å, c = 5.6545 Å
α = 90.00°, β = 90.00°, γ = 90.00°
Closest atoms and distances in Å follow each position.
Space group I-42d (No. 122)
One atom of each set of equivalent atoms:
Mn 0.0000 0.0000 0.0000 (multiplicity 4)  4 Al 2.64, 2 I 2.83
Al 0.2012 0.2500 0.1250 (multiplicity 8)  2 Mn 2.64, 2 Al 2.93
I 0.0000 0.0000 0.5000 (multiplicity 4)  2 Mn 2.83



Sm6YAl2 | PBE | relaxed

Output
The formation energy is -14.72 kJ/mol of atoms. The value obtained for the density of states at the Fermi level is 9.62 states/eV/f.u. The calculation puts the calculated density at 6426 kg/m3.

a = 12.7921 Å, b = 3.7526 Å, c = 11.9388 Å
α = 90.00°, β = 109.53°, γ = 90.00°
Closest atoms and distances in Å follow each position.
Space group C2/m (No. 12)
One atom of each set of equivalent atoms:
Sm 0.0241 0.0000 0.3257 (multiplicity 4)  2 Al 3.14, 3 Sm 3.47-3.50
Sm 0.1870 0.5000 0.8761 (multiplicity 4)  2 Al 3.17, 5 Sm 3.42-3.50
Sm 0.1888 0.5000 0.5893 (multiplicity 4)  2 Al 3.27, 4 Sm 3.43-3.57
Y 0.0000 0.0000 0.0000 (multiplicity 2)  4 Al 3.13
Al 0.1481 0.5000 0.1998 (multiplicity 4)  2 Y 3.13, 6 Sm 3.14-3.27



SrCoCl2 | PBE | relaxed

Output
The formation energy without anion corrections comes out at -2.857 eV/f.u. The excess energy over the best structure of this formula in the dataset is 0.260 eV/atom. The value obtained for the density of states at the Fermi level is 5.18 states/eV/f.u. The calculation puts the calculated density at 4238 kg/m3.

a = 4.3491 Å, b = 4.3491 Å, c = 15.6056 Å
α = 90.00°, β = 90.00°, γ = 120.00°
Closest atoms and distances in Å follow each position.
Space group R-3m (No. 166, hexagonal axes)
One atom of each set of equivalent atoms:
Sr 0.0000 0.0000 0.0000 (multiplicity 3)  6 Cl 2.98
Co 0.0000 0.0000 0.5000 (multiplicity 3)  6 Cl 2.70
Cl 0.0000 0.0000 0.2309 (multiplicity 6)  3 Co 2.70, 3 Sr 2.98



Sc2Ge4Os3 | PBE | relaxed

Output
The formation energy is -21.47 kJ/mol of atoms. The value obtained for the density of states at the Fermi level is 7.27 states/eV/f.u. The calculation puts the calculated density at 10131 kg/m3.

a = 5.2368 Å, b = 9.7888 Å, c = 12.1649 Å
α = 90.00°, β = 90.00°, γ = 90.00°
Closest atoms and distances in Å follow each position.
Space group Fmmm (No. 69)
One atom of each set of equivalent atoms:
Sc 0.0000 0.0000 0.1266 (multiplicity 8)  6 Ge 2.94-3.07, 6 Os 3.04-3.17, 1 Sc 3.08
Ge 0.0000 0.1557 0.3337 (multiplicity 16)  3 Os 2.53-2.58, 1 Ge 2.75
Os 0.0000 0.0000 0.5000 (multiplicity 4)  4 Ge 2.53, 4 Os 2.78
Os 0.2500 0.2500 0.0000 (multiplicity 8)  4 Ge 2.58, 4 Os 2.62-2.78